(P)
Below is an optimized crystal structure of Ag2Sn2Se, with properties calculated at the PBE-GGA level.

Structure (CIF):
```
data_Ag2Sn2Se
_space_group_name_H-M_alt 'P 1'
_space_group_IT_number 1
_cell_length_a 7.4029
_cell_length_b 7.4029
_cell_length_c 4.2819
_cell_angle_alpha 90.00
_cell_angle_beta 90.00
_cell_angle_gamma 90.00
loop_
_space_group_symop_operation_xyz
'x,y,z'
loop_
_atom_site_label
_atom_site_type_symbol
_atom_site_fract_x
_atom_site_fract_y
_atom_site_fract_z
Ag1 Ag 0.1347 0.3653 0.0000
Ag2 Ag 0.3653 0.8653 0.0000
Ag3 Ag 0.6347 0.1347 0.0000
Ag4 Ag 0.8653 0.6347 0.0000
Sn1 Sn 0.1615 0.6615 0.5000
Sn2 Sn 0.3385 0.1615 0.5000
Sn3 Sn 0.6615 0.8385 0.5000
Sn4 Sn 0.8385 0.3385 0.5000
Se1 Se 0.0000 0.0000 0.0000
Se2 Se 0.5000 0.5000 0.0000
```

## Properties
V ... 234.7 Å³/cell


(Q)
Below is an optimized crystal structure of Ag2Sn2Se, with properties calculated at the PBE-GGA level.

Structure (CIF):
```
data_Ag2Sn2Se
_space_group_name_H-M_alt 'P 1'
_space_group_IT_number 1
_cell_length_a 7.9963
_cell_length_b 7.9963
_cell_length_c 3.7739
_cell_angle_alpha 90.00
_cell_angle_beta 90.00
_cell_angle_gamma 90.00
loop_
_space_group_symop_operation_xyz
'x,y,z'
loop_
_atom_site_label
_atom_site_type_symbol
_atom_site_fract_x
_atom_site_fract_y
_atom_site_fract_z
Ag1 Ag 0.1224 0.3776 0.0000
Ag2 Ag 0.3776 0.8776 0.0000
Ag3 Ag 0.6224 0.1224 0.0000
Ag4 Ag 0.8776 0.6224 0.0000
Sn1 Sn 0.1813 0.6813 0.5000
Sn2 Sn 0.3187 0.1813 0.5000
Sn3 Sn 0.6813 0.8187 0.5000
Sn4 Sn 0.8187 0.3187 0.5000
Se1 Se 0.0000 0.0000 0.5000
Se2 Se 0.5000 0.5000 0.5000
```

## Properties
V ... 241.3 Å³/cell


Which of them is most stable, and which least? Most stable: (P); least stable: (Q).


(P)
Below is an optimized crystal structure of Ag2Sn2Se5, with properties calculated at the PBE-GGA level.

Structure (CIF):
```
data_Ag2Sn2Se5
_space_group_name_H-M_alt 'P 1'
_space_group_IT_number 1
_cell_length_a 8.0604
_cell_length_b 8.0604
_cell_length_c 7.6341
_cell_angle_alpha 90.00
_cell_angle_beta 90.00
_cell_angle_gamma 55.17
loop_
_space_group_symop_operation_xyz
'x,y,z'
loop_
_atom_site_label
_atom_site_type_symbol
_atom_site_fract_x
_atom_site_fract_y
_atom_site_fract_z
Ag1 Ag 0.1416 0.8584 0.8702
Ag2 Ag 0.3584 0.6416 0.3702
Ag3 Ag 0.6416 0.3584 0.6298
Ag4 Ag 0.8584 0.1416 0.1298
Sn1 Sn 0.2045 0.2045 0.5000
Sn2 Sn 0.2955 0.2955 0.0000
Sn3 Sn 0.7045 0.7045 0.0000
Sn4 Sn 0.7955 0.7955 0.5000
Se1 Se 0.0000 0.0000 0.5000
Se2 Se 0.0392 0.6788 0.1612
Se3 Se 0.1788 0.5392 0.6612
Se4 Se 0.3212 0.9608 0.1612
Se5 Se 0.4608 0.8212 0.6612
Se6 Se 0.5000 0.5000 0.0000
Se7 Se 0.5392 0.1788 0.3388
Se8 Se 0.6788 0.0392 0.8388
Se9 Se 0.8212 0.4608 0.3388
Se10 Se 0.9608 0.3212 0.8388
```

## Properties
V ... 407.1 Å³/cell


(Q)
Below is an optimized crystal structure of Ag2Sn2Se5, with properties calculated at the PBE-GGA level.

Structure (CIF):
```
data_Ag2Sn2Se5
_space_group_name_H-M_alt 'P 1'
_space_group_IT_number 1
_cell_length_a 16.8457
_cell_length_b 16.8457
_cell_length_c 16.8457
_cell_angle_alpha 14.26
_cell_angle_beta 14.26
_cell_angle_gamma 14.26
loop_
_space_group_symop_operation_xyz
'x,y,z'
loop_
_atom_site_label
_atom_site_type_symbol
_atom_site_fract_x
_atom_site_fract_y
_atom_site_fract_z
Ag1 Ag 0.0000 0.0000 0.0000
Ag2 Ag 0.1671 0.1671 0.1671
Sn1 Sn 0.5825 0.5825 0.5825
Sn2 Sn 0.7619 0.7619 0.7619
Se1 Se 0.0691 0.0691 0.0691
Se2 Se 0.2186 0.2186 0.2186
Se3 Se 0.6851 0.6851 0.6851
Se4 Se 0.8129 0.8129 0.8129
Se5 Se 0.9459 0.9459 0.9459
```

## Properties
V ... 252.5 Å³/cell


Which of them is most stable, and which least? Most stable: (Q); least stable: (P).


(P)
Below is an optimized crystal structure of SrAgSe, with properties calculated at the PBE-GGA level.

Structure (CIF):
```
data_SrAgSe
_space_group_name_H-M_alt 'P 1'
_space_group_IT_number 1
_cell_length_a 6.2444
_cell_length_b 6.2444
_cell_length_c 6.4214
_cell_angle_alpha 97.62
_cell_angle_beta 97.62
_cell_angle_gamma 43.23
loop_
_space_group_symop_operation_xyz
'x,y,z'
loop_
_atom_site_label
_atom_site_type_symbol
_atom_site_fract_x
_atom_site_fract_y
_atom_site_fract_z
Sr1 Sr 0.1360 0.1360 0.2398
Sr2 Sr 0.8640 0.8640 0.7602
Ag1 Ag 0.4223 0.4223 0.1370
Ag2 Ag 0.5777 0.5777 0.8630
Se1 Se 0.1704 0.1704 0.7254
Se2 Se 0.8296 0.8296 0.2746
```

## Properties
V ... 169.7 Å³/cell


(Q)
Below is an optimized crystal structure of SrAgSe, with properties calculated at the PBE-GGA level.

Structure (CIF):
```
data_SrAgSe
_space_group_name_H-M_alt 'P 1'
_space_group_IT_number 1
_cell_length_a 6.9050
_cell_length_b 6.9050
_cell_length_c 6.4003
_cell_angle_alpha 111.16
_cell_angle_beta 111.16
_cell_angle_gamma 37.12
loop_
_space_group_symop_operation_xyz
'x,y,z'
loop_
_atom_site_label
_atom_site_type_symbol
_atom_site_fract_x
_atom_site_fract_y
_atom_site_fract_z
Sr1 Sr 0.0000 0.0000 0.0000
Sr2 Sr 0.6589 0.6589 0.6194
Ag1 Ag 0.3095 0.3095 0.1439
Ag2 Ag 0.9330 0.9330 0.4403
Se1 Se 0.3368 0.3368 0.7464
Se2 Se 0.6774 0.6774 0.1347
```

## Properties
V ... 170.3 Å³/cell


Which of them is most stable, and which least? Most stable: (P); least stable: (Q).


(P)
Below is an optimized crystal structure of SrAgSe, with properties calculated at the PBE-GGA level.

Structure (CIF):
```
data_SrAgSe
_space_group_name_H-M_alt 'P 1'
_space_group_IT_number 1
_cell_length_a 5.0982
_cell_length_b 5.0982
_cell_length_c 5.0982
_cell_angle_alpha 60.00
_cell_angle_beta 60.00
_cell_angle_gamma 60.00
loop_
_space_group_symop_operation_xyz
'x,y,z'
loop_
_atom_site_label
_atom_site_type_symbol
_atom_site_fract_x
_atom_site_fract_y
_atom_site_fract_z
Sr1 Sr 0.0000 0.0000 0.0000
Ag1 Ag 0.7500 0.7500 0.7500
Se1 Se 0.2500 0.2500 0.2500
```

## Properties
V ... 93.7 Å³/cell


(Q)
Below is an optimized crystal structure of SrAgSe, with properties calculated at the PBE-GGA level.

Structure (CIF):
```
data_SrAgSe
_space_group_name_H-M_alt 'P 1'
_space_group_IT_number 1
_cell_length_a 5.7521
_cell_length_b 5.7521
_cell_length_c 5.7521
_cell_angle_alpha 137.38
_cell_angle_beta 137.38
_cell_angle_gamma 61.85
loop_
_space_group_symop_operation_xyz
'x,y,z'
loop_
_atom_site_label
_atom_site_type_symbol
_atom_site_fract_x
_atom_site_fract_y
_atom_site_fract_z
Sr1 Sr 0.0000 0.0000 0.0000
Ag1 Ag 0.3229 0.3229 0.0000
Se1 Se 0.6019 0.6019 0.0000
```

## Properties
V ... 86.2 Å³/cell


(R)
Below is an optimized crystal structure of SrAgSe, with properties calculated at the PBE-GGA level.

Structure (CIF):
```
data_SrAgSe
_space_group_name_H-M_alt 'P 1'
_space_group_IT_number 1
_cell_length_a 4.1845
_cell_length_b 5.1900
_cell_length_c 5.1900
_cell_angle_alpha 48.32
_cell_angle_beta 90.00
_cell_angle_gamma 90.00
loop_
_space_group_symop_operation_xyz
'x,y,z'
loop_
_atom_site_label
_atom_site_type_symbol
_atom_site_fract_x
_atom_site_fract_y
_atom_site_fract_z
Sr1 Sr 0.0000 0.0000 0.0000
Ag1 Ag 0.5000 0.3018 0.3018
Se1 Se 0.5000 0.6016 0.6016
```

## Properties
V ... 84.2 Å³/cell


Which of them is most stable, and which least? Most stable: (R); least stable: (P).